# 1
DFT (PBE) results for a relaxed Pm8Sm5Sc crystal.

## Properties
- ΔH_f (0 K): 163 meV/atom
- Crystal system: monoclinic
- DOS(E_F): 18.4 states/eV/cell
- ρ: 6.80 g/cm³

Unit cell a=8.2781 b=8.8863 c=8.2781 alpha=116.83 beta=101.25 gamma=107.36
With the nearest neighbours (Å) after each atom.
Fractional positions:
Pm1 0.4444 0.5410 0.2749  2 Sm 3.34-3.51, 2 Pm 3.64
Pm2 0.2401 0.7889 0.0849  4 Pm 3.28-3.66, 1 Sc 3.40, 1 Sm 3.47
Pm3 0.5031 0.7188 0.8095  1 Sc 3.04, 1 Sm 3.28
Pm4 0.7339 0.4590 0.9035  2 Sm 3.34-3.51, 2 Pm 3.64
Pm5 0.0880 0.7185 0.3940  1 Sc 3.04, 1 Pm 3.28
Pm6 0.0906 0.2812 0.7843  1 Sc 3.04, 1 Sm 3.28
Pm7 0.6756 0.2815 0.3695  1 Sc 3.04, 1 Pm 3.28
Pm8 0.2960 0.2111 0.4512  4 Pm 3.28-3.66, 1 Sc 3.40, 1 Sm 3.47
Sm1 0.3467 0.0822 0.9139  6 Pm 3.44-3.64, 2 Sm 3.47-3.61
Sm2 0.9375 0.2112 0.0932  3 Pm 3.28-3.66, 1 Sc 3.40, 2 Sm 3.41-3.47
Sm3 0.8318 0.9178 0.2646  6 Pm 3.44-3.64, 2 Sm 3.47-3.61
Sm4 0.5911 0.0000 0.5911  6 Pm 3.34-3.70, 2 Sm 3.61
Sm5 0.8820 0.7888 0.7263  3 Pm 3.28-3.66, 1 Sc 3.40, 2 Sm 3.41-3.47
Sc1 0.0891 0.5000 0.5891  4 Pm 3.04


# 2
DFT (PBE) results for a relaxed PmSmSc crystal.

## Properties
- ΔH_f (0 K): 55 meV/atom
- Crystal system: hexagonal
- DOS(E_F): 9.1 states/eV/cell
- Energy above the most stable polymorph in this dataset: 0.0005 eV per atom
- ρ: 6.08 g/cm³

Unit cell a=3.5544 b=3.5544 c=16.9926 alpha=90.00 beta=90.00 gamma=120.00
With the nearest neighbours (Å) after each atom.
Fractional positions:
Pm1 0.3333 0.6667 0.7897  3 Sc 3.40, 6 Pm 3.55, 3 Sm 3.71
Pm2 0.3333 0.6667 0.1084  3 Sc 3.40, 6 Pm 3.55, 3 Sm 3.71
Sm1 0.6667 0.3333 0.6076  3 Sc 3.39, 6 Sm 3.55, 3 Pm 3.71
Sm2 0.6667 0.3333 0.2905  3 Sc 3.39, 6 Sm 3.55, 3 Pm 3.71
Sc1 0.3333 0.6667 0.4490  6 Sm 3.39, 6 Sc 3.55
Sc2 0.6667 0.3333 0.9491  6 Pm 3.40, 6 Sc 3.55


# 3
DFT (PBE) results for a relaxed Pm5SmSc4 crystal.

## Properties
- ΔH_f (0 K): 46 meV/atom
- Crystal system: tetragonal
- DOS(E_F): 14.5 states/eV/cell
- ρ: 5.83 g/cm³

Unit cell a=3.5745 b=3.5745 c=23.5357 alpha=90.00 beta=90.00 gamma=90.00
With the nearest neighbours (Å) after each atom.
Fractional positions:
Sc1 0.0000 0.0000 0.7913  8 Pm 3.41-3.42, 4 Sc 3.57
Sc2 0.0000 0.0000 0.4030  8 Pm 3.40-3.41, 4 Sc 3.57
Sc3 0.0000 0.0000 0.2087  8 Pm 3.41-3.42, 4 Sc 3.57
Sc4 0.0000 0.0000 0.5970  8 Pm 3.40-3.41, 4 Sc 3.57
Pm1 0.5000 0.5000 0.5000  8 Sc 3.41, 4 Pm 3.57
Pm2 0.5000 0.5000 0.8895  4 Sc 3.42, 4 Pm 3.57, 4 Sm 3.63
Pm3 0.5000 0.5000 0.3061  8 Sc 3.40-3.41, 4 Pm 3.57
Pm4 0.5000 0.5000 0.1105  4 Sc 3.42, 4 Pm 3.57, 4 Sm 3.63
Pm5 0.5000 0.5000 0.6939  8 Sc 3.40-3.41, 4 Pm 3.57
Sm1 0.0000 0.0000 0.0000  4 Sm 3.57, 8 Pm 3.63


# 4
DFT (PBE) results for a relaxed Pm3SmSc crystal.

## Properties
- ΔH_f (0 K): 76 meV/atom
- Crystal system: triclinic
- DOS(E_F): 16.0 states/eV/cell
- Energy above the most stable polymorph in this dataset: 0.0000 eV per atom
- ρ: 6.49 g/cm³

Unit cell a=3.5104 b=9.7757 c=12.2755 alpha=110.61 beta=90.00 gamma=122.61
With the nearest neighbours (Å) after each atom.
Fractional positions:
Pm1 0.8671 0.0772 0.1529  6 Pm 3.40-3.51, 2 Sc 3.53, 2 Sm 3.74
Pm2 0.9961 0.1635 0.4515  5 Pm 3.43-3.80, 4 Sc 3.51-3.56, 3 Sm 3.52-3.73
Pm3 0.0039 0.8365 0.5485  5 Pm 3.43-3.80, 4 Sc 3.51-3.56, 3 Sm 3.52-3.73
Pm4 0.7841 0.3557 0.0538  6 Pm 3.16-3.51, 1 Sc 3.43
Pm5 0.2159 0.6443 0.9462  6 Pm 3.16-3.51, 1 Sc 3.43
Pm6 0.1329 0.9228 0.8471  6 Pm 3.40-3.51, 2 Sc 3.53, 2 Sm 3.74
Sm1 0.1227 0.2491 0.7571  2 Sm 3.51, 9 Pm 3.52-3.80, 2 Sc 3.70
Sm2 0.8773 0.7509 0.2429  2 Sm 3.51, 9 Pm 3.52-3.80, 2 Sc 3.70
Sc1 0.9342 0.4553 0.3544  3 Sc 3.34-3.51, 7 Pm 3.43-3.56, 2 Sm 3.70
Sc2 0.0658 0.5447 0.6456  3 Sc 3.34-3.51, 7 Pm 3.43-3.56, 2 Sm 3.70